No. 1
The following is a DFT calculation (GGA-PBE) of AcLaHg after structural relaxation.

Summary:
As for the space-group type: No. 216. For the density of states at the Fermi level, the calculation gives 5.30 states/eV/cell. For the calculated formation energy, the calculation gives -128.5 meV per atom. For the energy, the calculation gives -0.119 hartree per atom.

```
3
Lattice="-2.2499 -3.4358 -3.6080 2.9244 -4.1627 -2.0010 -1.1798 -5.1290 1.4784" Properties=species:S:1:pos:R:3 pbc="T T T"
Ac -0.2527 -6.3638 -2.0653
Hg -0.1263 -3.1819 -1.0327
La 0.0000 0.0000 0.0000
```

---

No. 2
The following is a DFT calculation (GGA-PBE) of AcLaHg17 after structural relaxation.

Summary:
As for the space-group type: No. 160. For the density of states at the Fermi level, the calculation gives 7.90 states/eV/cell. For the calculated formation energy, the calculation gives -151.4 meV per atom. For the energy, the calculation gives -0.033 hartree per atom.

```
19
Lattice="-2.0122 7.8716 1.1289 -7.9633 -0.2457 1.9523 -0.0740 0.8815 8.1550" Properties=species:S:1:pos:R:3 pbc="T T T"
Ac -6.4487 5.4592 7.2103
La -3.2397 2.7425 3.6223
Hg -0.6963 3.0117 6.0024
Hg -3.8243 5.3825 1.4097
Hg -5.5479 0.1294 3.8454
Hg -6.1318 2.2351 1.7290
Hg -2.4889 0.5665 6.2505
Hg -1.4479 5.7220 3.2781
Hg -7.9111 2.8023 4.9704
Hg -3.5133 3.4306 8.4280
Hg -4.5938 7.3272 4.5114
Hg -3.1062 5.1547 5.9852
Hg -5.9574 4.7473 3.7436
Hg -5.2569 2.2211 6.2828
Hg -6.5803 8.0123 9.7866
Hg -9.3373 7.6183 7.6190
Hg -8.6600 5.1755 10.0744
Hg -9.5306 8.0681 10.6561
Hg -1.1976 1.0138 1.3390
```

---

No. 3
The following is a DFT calculation (GGA-PBE) of AcLa4Hg5 after structural relaxation.

Summary:
As for the space-group type: No. 123. For the density of states at the Fermi level, the calculation gives 11.78 states/eV/cell. For the calculated formation energy, the calculation gives -494.6 meV per atom. For the energy, the calculation gives -0.111 hartree per atom.

```
10
Lattice="3.9493 0.0000 0.0000 0.0000 3.9493 0.0000 0.0000 0.0000 19.5762" Properties=species:S:1:pos:R:3 pbc="T T T"
Ac 0.0000 0.0000 0.0000
La 0.0000 0.0000 4.0089
La 0.0000 0.0000 7.8634
La 0.0000 0.0000 11.7129
La 0.0000 0.0000 15.5674
Hg 1.9746 1.9746 2.1073
Hg 1.9746 1.9746 5.9313
Hg 1.9746 1.9746 9.7881
Hg 1.9746 1.9746 13.6449
Hg 1.9746 1.9746 17.4689
```

---

No. 4
The following is a DFT calculation (GGA-PBE) of Ac3La3Hg4 after structural relaxation.

Summary:
As for the space-group type: No. 38. For the density of states at the Fermi level, the calculation gives 13.38 states/eV/cell. For the calculated formation energy, the calculation gives -354.1 meV per atom. For the energy, the calculation gives -0.117 hartree per atom.

```
10
Lattice="-0.8807 2.2396 -3.3018 -8.6195 -3.1006 0.1959 -2.3316 7.0316 5.3915" Properties=species:S:1:pos:R:3 pbc="T T T"
Ac -8.0611 -0.3714 -0.6297
Ac -4.1140 2.4744 0.2478
Ac -7.6813 3.7549 2.0679
La -4.2780 -1.5288 0.1041
La -9.7836 0.4475 2.9131
La -3.7996 6.4955 2.8915
Hg -6.3243 0.5979 2.0924
Hg -4.5880 3.3957 3.5271
Hg -9.5510 3.3498 4.8197
Hg -1.4799 0.4526 0.7017
```

---

No. 5
The following is a DFT calculation (GGA-PBE) of AcLaHg after structural relaxation.

Summary:
As for the space-group type: No. 8. For the density of states at the Fermi level, the calculation gives 5.31 states/eV/cell. For the calculated formation energy, the calculation gives -207.4 meV per atom. For the energy, the calculation gives -0.122 hartree per atom.

```
6
Lattice="-3.4267 4.1911 -0.2645 -0.8452 -3.4860 4.0633 7.4793 2.4484 3.5895" Properties=species:S:1:pos:R:3 pbc="T T T"
Ac 5.0250 3.2022 5.0565
Ac -0.0462 3.1186 3.7361
La 1.1977 0.2193 1.3061
La 2.8471 4.5402 2.3591
Hg 5.5274 0.1939 6.1798
Hg -0.1221 -0.2752 4.2806
```

---

No. 6
The following is a DFT calculation (GGA-PBE) of AcLaHg after structural relaxation.

Summary:
As for the space-group type: No. 43. For the density of states at the Fermi level, the calculation gives 15.72 states/eV/cell. For the calculated formation energy, the calculation gives -221.4 meV per atom. For the energy, the calculation gives -0.123 hartree per atom.

```
12
Lattice="-5.9948 -5.8443 -1.8577 7.0740 -2.6947 -4.0301 1.0336 1.1056 7.8208" Properties=species:S:1:pos:R:3 pbc="T T T"
Ac -1.2572 -6.3544 -2.1999
Ac -4.6493 -5.2983 0.2641
Ac 0.4557 -5.5134 1.5116
Ac 3.5979 -2.8825 2.8895
La 1.3755 -2.4425 -0.2723
La -2.9077 -3.0465 4.4360
La 4.9562 -3.8777 -2.1519
La 0.1334 -0.2122 5.5003
Hg 3.4811 -0.1448 4.8124
Hg 1.8964 -5.3545 -1.7747
Hg -1.8316 -3.6230 -0.3518
Hg 0.2927 -2.6828 3.2914
```

---

No. 7
The following is a DFT calculation (GGA-PBE) of AcLaHg3 after structural relaxation.

Summary:
As for the space-group type: No. 63. For the density of states at the Fermi level, the calculation gives 9.67 states/eV/cell. For the calculated formation energy, the calculation gives -464.3 meV per atom. For the energy, the calculation gives -0.090 hartree per atom.

```
10
Lattice="3.8505 0.0000 -0.5302 0.0000 5.1073 0.0000 0.1381 0.0000 15.2508" Properties=species:S:1:pos:R:3 pbc="T T T"
Ac 3.6809 3.8305 12.4860
Ac 0.3077 1.2768 2.2347
La 0.8611 3.8305 6.2538
La 3.1275 1.2768 8.4668
Hg 2.4260 3.8305 3.3720
Hg 1.5625 1.2768 11.3486
Hg 2.0236 3.8305 0.4493
Hg 1.9650 1.2768 14.2713
Hg 2.6670 1.2768 5.1218
Hg 1.3216 3.8305 9.5989
```

---

No. 8
The following is a DFT calculation (GGA-PBE) of Ac2La8Hg after structural relaxation.

Summary:
As for the space-group type: No. 12. For the density of states at the Fermi level, the calculation gives 15.64 states/eV/cell. For the calculated formation energy, the calculation gives -51.0 meV per atom. For the energy, the calculation gives -0.162 hartree per atom.

```
11
Lattice="5.7267 0.0000 -1.6440 -0.1157 6.7506 -0.4031 -0.0502 -0.0776 10.6217" Properties=species:S:1:pos:R:3 pbc="T T T"
Ac 4.2705 4.5474 4.0796
Ac 1.2904 2.1256 4.4950
La 2.3212 2.5973 8.0858
La 3.7234 0.7819 2.1739
La 4.8105 1.3306 5.9608
La 5.3781 4.9527 7.9382
La 0.7503 5.3425 2.6138
La 1.8374 5.8911 6.4007
La 3.2396 4.0758 0.4888
La 0.1827 1.7203 0.6365
Hg 2.8634 0.0000 -0.8220
```

---

No. 9
The following is a DFT calculation (GGA-PBE) of Ac3La2Hg2 after structural relaxation.

Summary:
As for the space-group type: No. 65. For the density of states at the Fermi level, the calculation gives 9.79 states/eV/cell. For the calculated formation energy, the calculation gives -146.7 meV per atom. For the energy, the calculation gives -0.125 hartree per atom.

```
7
Lattice="4.4099 0.0000 0.5852 0.0000 3.8776 0.0000 0.3184 0.0000 14.5077" Properties=species:S:1:pos:R:3 pbc="T T T"
Ac 3.9045 0.0000 4.3932
Ac 0.0000 0.0000 0.0000
Ac 0.8238 0.0000 10.6998
La 3.3299 1.9388 8.7228
La 1.3984 1.9388 6.3702
Hg 2.7919 1.9388 12.7771
Hg 1.9364 1.9388 2.3159
```

---

No. 10
The following is a DFT calculation (GGA-PBE) of Li2AcLa2Hg2 after structural relaxation.

Summary:
As for the space-group type: No. 166. For the density of states at the Fermi level, the calculation gives 7.77 states/eV/cell. For the calculated formation energy, the calculation gives -244.6 meV per atom. For the energy, the calculation gives -0.106 hartree per atom.

```
7
Lattice="4.9029 0.0000 0.0000 2.4515 4.2461 0.0000 2.4515 1.4154 9.4980" Properties=species:S:1:pos:R:3 pbc="T T T"
Li 4.9029 2.8307 2.1679
Li 4.9030 2.8307 7.3301
Ac 0.0000 0.0000 0.0000
La 2.4515 1.4154 5.6938
La 7.3544 4.2461 3.8042
Hg 7.3544 4.2461 7.3689
Hg 2.4515 1.4154 2.1291
```

---

No. 11
The following is a DFT calculation (GGA-PBE) of Li2AcLaHg4 after structural relaxation.

Summary:
As for the space-group type: No. 166. For the density of states at the Fermi level, the calculation gives 5.73 states/eV/cell. For the calculated formation energy, the calculation gives -440.4 meV per atom. For the energy, the calculation gives -0.081 hartree per atom.

```
8
Lattice="-0.5215 -2.8649 4.3532 1.7490 -4.9354 0.1120 8.3350 0.2732 4.3289" Properties=species:S:1:pos:R:3 pbc="T T T"
Li 7.0873 -5.6759 6.5653
Li 2.4751 -1.8511 2.2288
Ac 0.0000 0.0000 0.0000
La 4.7812 -3.7635 4.3970
Hg 7.6073 -2.7390 5.4099
Hg 4.1998 -6.7227 5.5304
Hg 5.3626 -0.8044 3.2636
Hg 1.9551 -4.7880 3.3842
```

---

No. 12
The following is a DFT calculation (GGA-PBE) of AcLaLuHg after structural relaxation.

Summary:
As for the space-group type: No. 216. For the density of states at the Fermi level, the calculation gives 7.32 states/eV/cell. For the calculated formation energy, the calculation gives 41.1 meV per atom. For the energy, the calculation gives -0.126 hartree per atom.

```
4
Lattice="5.6536 0.0000 0.0000 2.8268 4.8962 0.0000 2.8268 1.6321 4.6161" Properties=species:S:1:pos:R:3 pbc="T T T"
Ac 0.0000 0.0000 0.0000
Lu 8.4804 4.8962 3.4621
Hg 5.6536 3.2641 2.3081
La 2.8268 1.6321 1.1540
```